# MgPt2C PBE relaxed
# VASP energy: -4.889 eV per atom
# Excess energy over the best structure of this formula in the dataset: 315 kJ/mol of formula units
# D(E_F): 3.8 states/eV/f.u.
# Formation energy: 0.836 eV/atom
# Total moment: 0.00 μB per cell
data_MgPt2C
_chemical_formula_sum 'Mg1 Pt2 C1'
_cell_length_a 4.283
_cell_length_b 4.283
_cell_length_c 4.283
_cell_angle_alpha 60.00
_cell_angle_beta 60.00
_cell_angle_gamma 60.00
_symmetry_space_group_name_H-M 'P 1'
_symmetry_Int_Tables_number 1
loop_
_symmetry_equiv_pos_as_xyz
'x,y,z'
loop_
_atom_site_label
_atom_site_type_symbol
_atom_site_fract_x
_atom_site_fract_y
_atom_site_fract_z
_atom_site_occupancy
Mg1 Mg 0.000 0.000 0.000 1
Pt1 Pt 0.250 0.250 0.250 1
Pt2 Pt 0.750 0.750 0.750 1
C1 C 0.500 0.500 0.500 1


# SrScAlHg2 PBE relaxed
# VASP energy: -2.427 eV per atom
# Excess energy over the best structure of this formula in the dataset: 0 kJ/mol of formula units
# D(E_F): 3.6 states/eV/f.u.
# Formation energy: 0.045 eV/atom
# Total moment: 0.00 μB per cell
data_SrScAlHg2
_chemical_formula_sum 'Sr1 Sc1 Al1 Hg2'
_cell_length_a 5.198
_cell_length_b 5.198
_cell_length_c 5.269
_cell_angle_alpha 90.00
_cell_angle_beta 90.00
_cell_angle_gamma 90.00
_symmetry_space_group_name_H-M 'P 1'
_symmetry_Int_Tables_number 1
loop_
_symmetry_equiv_pos_as_xyz
'x,y,z'
loop_
_atom_site_label
_atom_site_type_symbol
_atom_site_fract_x
_atom_site_fract_y
_atom_site_fract_z
_atom_site_occupancy
Sr1 Sr 0.000 0.000 0.000 1
Sc1 Sc 0.500 0.500 0.000 1
Al1 Al 0.500 0.500 0.500 1
Hg1 Hg 0.000 0.500 0.500 1
Hg2 Hg 0.500 0.000 0.500 1


# Sm2PuPaSb4 PBE relaxed
# VASP energy: -7.085 eV per atom
# Formation energy (no corrections): -668 kJ/mol of formula units
# D(E_F): 17.2 states/eV/f.u.
# Total moment: 6.10 μB per cell
data_Sm2PuPaSb4
_chemical_formula_sum 'Sm2 Pu1 Pa1 Sb4'
_cell_length_a 7.667
_cell_length_b 4.432
_cell_length_c 7.687
_cell_angle_alpha 90.00
_cell_angle_beta 109.40
_cell_angle_gamma 90.00
_symmetry_space_group_name_H-M 'P 1'
_symmetry_Int_Tables_number 1
loop_
_symmetry_equiv_pos_as_xyz
'x,y,z'
loop_
_atom_site_label
_atom_site_type_symbol
_atom_site_fract_x
_atom_site_fract_y
_atom_site_fract_z
_atom_site_occupancy
Sm1 Sm 0.000 0.000 0.000 1
Sm2 Sm 0.500 0.500 0.000 1
Pu1 Pu 0.000 0.500 0.500 1
Pa1 Pa 0.500 0.000 0.500 1
Sb1 Sb 0.251 0.000 0.745 1
Sb2 Sb 0.255 0.500 0.256 1
Sb3 Sb 0.745 0.500 0.744 1
Sb4 Sb 0.749 0.000 0.255 1


# TbNd6Sc2 PBE relaxed
# VASP energy: -5.028 eV per atom
# Excess energy over the best structure of this formula in the dataset: 0 kJ/mol of formula units
# D(E_F): 13.9 states/eV/f.u.
# Formation energy: 0.072 eV/atom
# Total moment: 0.00 μB per cell
data_TbNd6Sc2
_chemical_formula_sum 'Tb2 Nd12 Sc4'
_cell_length_a 11.927
_cell_length_b 11.927
_cell_length_c 5.652
_cell_angle_alpha 103.68
_cell_angle_beta 103.68
_cell_angle_gamma 48.25
_symmetry_space_group_name_H-M 'P 1'
_symmetry_Int_Tables_number 1
loop_
_symmetry_equiv_pos_as_xyz
'x,y,z'
loop_
_atom_site_label
_atom_site_type_symbol
_atom_site_fract_x
_atom_site_fract_y
_atom_site_fract_z
_atom_site_occupancy
Tb1 Tb 0.250 0.750 0.750 1
Tb2 Tb 0.750 0.250 0.250 1
Nd1 Nd 0.004 0.170 0.838 1
Nd2 Nd 0.079 0.578 0.578 1
Nd3 Nd 0.170 0.004 0.338 1
Nd4 Nd 0.329 0.497 0.163 1
Nd5 Nd 0.422 0.921 0.922 1
Nd6 Nd 0.497 0.329 0.663 1
Nd7 Nd 0.503 0.671 0.337 1
Nd8 Nd 0.578 0.079 0.078 1
Nd9 Nd 0.671 0.503 0.837 1
Nd10 Nd 0.830 0.996 0.662 1
Nd11 Nd 0.921 0.422 0.422 1
Nd12 Nd 0.996 0.830 0.162 1
Sc1 Sc 0.167 0.333 0.000 1
Sc2 Sc 0.333 0.167 0.500 1
Sc3 Sc 0.667 0.833 0.500 1
Sc4 Sc 0.833 0.667 0.000 1


# Ba3Y2Br12 PBE relaxed
# VASP energy: -4.264 eV per atom
# Formation energy (no corrections): -3253 kJ/mol of formula units
# D(E_F): 0.0 states/eV/f.u.
# Total moment: 0.00 μB per cell
data_Ba3Y2Br12
_chemical_formula_sum 'Ba6 Y4 Br24'
_cell_length_a 9.695
_cell_length_b 9.695
_cell_length_c 15.522
_cell_angle_alpha 100.62
_cell_angle_beta 100.62
_cell_angle_gamma 110.11
_symmetry_space_group_name_H-M 'P 1'
_symmetry_Int_Tables_number 1
loop_
_symmetry_equiv_pos_as_xyz
'x,y,z'
loop_
_atom_site_label
_atom_site_type_symbol
_atom_site_fract_x
_atom_site_fract_y
_atom_site_fract_z
_atom_site_occupancy
Ba1 Ba 0.130 0.870 0.750 1
Ba2 Ba 0.224 0.452 0.935 1
Ba3 Ba 0.452 0.224 0.435 1
Ba4 Ba 0.548 0.776 0.565 1
Ba5 Ba 0.776 0.548 0.065 1
Ba6 Ba 0.870 0.130 0.250 1
Y1 Y 0.054 0.339 0.597 1
Y2 Y 0.339 0.054 0.097 1
Y3 Y 0.661 0.946 0.903 1
Y4 Y 0.946 0.661 0.403 1
Br1 Br 0.008 0.513 0.751 1
Br2 Br 0.084 0.157 0.446 1
Br3 Br 0.140 0.739 0.076 1
Br4 Br 0.157 0.084 0.946 1
Br5 Br 0.163 0.217 0.731 1
Br6 Br 0.169 0.636 0.567 1
Br7 Br 0.217 0.163 0.231 1
Br8 Br 0.261 0.860 0.424 1
Br9 Br 0.364 0.831 0.933 1
Br10 Br 0.415 0.445 0.611 1
Br11 Br 0.445 0.415 0.111 1
Br12 Br 0.487 0.992 0.749 1
Br13 Br 0.513 0.008 0.251 1
Br14 Br 0.555 0.585 0.889 1
Br15 Br 0.585 0.555 0.389 1
Br16 Br 0.636 0.169 0.067 1
Br17 Br 0.739 0.140 0.576 1
Br18 Br 0.783 0.837 0.769 1
Br19 Br 0.831 0.364 0.433 1
Br20 Br 0.837 0.783 0.269 1
Br21 Br 0.843 0.916 0.054 1
Br22 Br 0.860 0.261 0.924 1
Br23 Br 0.916 0.843 0.554 1
Br24 Br 0.992 0.487 0.249 1


# ZrPaTcPt PBE relaxed
# VASP energy: -9.109 eV per atom
# D(E_F): 6.5 states/eV/f.u.
# Formation energy: -0.496 eV/atom
# Total moment: 0.00 μB per cell
data_ZrPaTcPt
_chemical_formula_sum 'Zr1 Pa1 Tc1 Pt1'
_cell_length_a 4.812
_cell_length_b 4.812
_cell_length_c 4.812
_cell_angle_alpha 60.00
_cell_angle_beta 60.00
_cell_angle_gamma 60.00
_symmetry_space_group_name_H-M 'P 1'
_symmetry_Int_Tables_number 1
loop_
_symmetry_equiv_pos_as_xyz
'x,y,z'
loop_
_atom_site_label
_atom_site_type_symbol
_atom_site_fract_x
_atom_site_fract_y
_atom_site_fract_z
_atom_site_occupancy
Zr1 Zr 0.000 0.000 0.000 1
Pa1 Pa 0.500 0.500 0.500 1
Tc1 Tc 0.750 0.750 0.750 1
Pt1 Pt 0.250 0.250 0.250 1


# NbCd3Cu PBE relaxed
# VASP energy: -2.616 eV per atom
# Excess energy over the best structure of this formula in the dataset: 0 kJ/mol of formula units
# D(E_F): 3.2 states/eV/f.u.
# Formation energy: 0.766 eV/atom
# Total moment: 0.00 μB per cell
data_NbCd3Cu
_chemical_formula_sum 'Nb1 Cd3 Cu1'
_cell_length_a 4.768
_cell_length_b 4.768
_cell_length_c 4.768
_cell_angle_alpha 90.00
_cell_angle_beta 90.00
_cell_angle_gamma 90.00
_symmetry_space_group_name_H-M 'P 1'
_symmetry_Int_Tables_number 1
loop_
_symmetry_equiv_pos_as_xyz
'x,y,z'
loop_
_atom_site_label
_atom_site_type_symbol
_atom_site_fract_x
_atom_site_fract_y
_atom_site_fract_z
_atom_site_occupancy
Nb1 Nb 0.000 0.000 0.000 1
Cd1 Cd 0.000 0.500 0.500 1
Cd2 Cd 0.500 0.000 0.500 1
Cd3 Cd 0.500 0.500 0.000 1
Cu1 Cu 0.500 0.500 0.500 1


# CrFeBr2 PBE relaxed
# VASP energy: -4.862 eV per atom
# Formation energy (no corrections): 192 kJ/mol of formula units
# Excess energy over the best structure of this formula in the dataset: 167 kJ/mol of formula units
# D(E_F): 2.4 states/eV/f.u.
# Total moment: 7.89 μB per cell
data_CrFeBr2
_chemical_formula_sum 'Cr1 Fe1 Br2'
_cell_length_a 4.825
_cell_length_b 4.825
_cell_length_c 3.409
_cell_angle_alpha 90.00
_cell_angle_beta 90.00
_cell_angle_gamma 90.00
_symmetry_space_group_name_H-M 'P 1'
_symmetry_Int_Tables_number 1
loop_
_symmetry_equiv_pos_as_xyz
'x,y,z'
loop_
_atom_site_label
_atom_site_type_symbol
_atom_site_fract_x
_atom_site_fract_y
_atom_site_fract_z
_atom_site_occupancy
Cr1 Cr 0.000 0.000 0.000 1
Fe1 Fe 0.500 0.500 0.000 1
Br1 Br 0.000 0.500 0.500 1
Br2 Br 0.500 0.000 0.500 1


# YPu2Co9 PBE relaxed
# VASP energy: -8.409 eV per atom
# D(E_F): 22.4 states/eV/f.u.
# Formation energy: -0.152 eV/atom
# Total moment: 0.30 μB per cell
data_YPu2Co9
_chemical_formula_sum 'Y1 Pu2 Co9'
_cell_length_a 8.631
_cell_length_b 8.631
_cell_length_c 8.631
_cell_angle_alpha 33.11
_cell_angle_beta 33.11
_cell_angle_gamma 33.11
_symmetry_space_group_name_H-M 'P 1'
_symmetry_Int_Tables_number 1
loop_
_symmetry_equiv_pos_as_xyz
'x,y,z'
loop_
_atom_site_label
_atom_site_type_symbol
_atom_site_fract_x
_atom_site_fract_y
_atom_site_fract_z
_atom_site_occupancy
Y1 Y 0.000 0.000 0.000 1
Pu1 Pu 0.140 0.140 0.140 1
Pu2 Pu 0.860 0.860 0.860 1
Co1 Co 0.081 0.582 0.582 1
Co2 Co 0.333 0.333 0.333 1
Co3 Co 0.418 0.418 0.919 1
Co4 Co 0.418 0.919 0.418 1
Co5 Co 0.500 0.500 0.500 1
Co6 Co 0.582 0.081 0.582 1
Co7 Co 0.582 0.582 0.081 1
Co8 Co 0.667 0.667 0.667 1
Co9 Co 0.919 0.418 0.418 1


# Mg2ZrS2 PBE relaxed
# VASP energy: -4.792 eV per atom
# Formation energy (no corrections): -383 kJ/mol of formula units
# Excess energy over the best structure of this formula in the dataset: 0 kJ/mol of formula units
# D(E_F): 3.8 states/eV/f.u.
# Total moment: 0.00 μB per cell
data_Mg2ZrS2
_chemical_formula_sum 'Mg4 Zr2 S4'
_cell_length_a 7.054
_cell_length_b 7.054
_cell_length_c 3.677
_cell_angle_alpha 90.00
_cell_angle_beta 90.00
_cell_angle_gamma 90.00
_symmetry_space_group_name_H-M 'P 1'
_symmetry_Int_Tables_number 1
loop_
_symmetry_equiv_pos_as_xyz
'x,y,z'
loop_
_atom_site_label
_atom_site_type_symbol
_atom_site_fract_x
_atom_site_fract_y
_atom_site_fract_z
_atom_site_occupancy
Mg1 Mg 0.155 0.345 0.000 1
Mg2 Mg 0.345 0.845 0.000 1
Mg3 Mg 0.655 0.155 0.000 1
Mg4 Mg 0.845 0.655 0.000 1
Zr1 Zr 0.000 0.000 0.500 1
Zr2 Zr 0.500 0.500 0.500 1
S1 S 0.165 0.665 0.500 1
S2 S 0.335 0.165 0.500 1
S3 S 0.665 0.835 0.500 1
S4 S 0.835 0.335 0.500 1


# RbTaCd PBE relaxed
# VASP energy: -3.834 eV per atom
# Excess energy over the best structure of this formula in the dataset: 102 kJ/mol of formula units
# D(E_F): 2.5 states/eV/f.u.
# Formation energy: 0.744 eV/atom
# Total moment: 0.00 μB per cell
data_RbTaCd
_chemical_formula_sum 'Rb4 Ta4 Cd4'
_cell_length_a 9.057
_cell_length_b 3.027
_cell_length_c 11.678
_cell_angle_alpha 90.00
_cell_angle_beta 90.00
_cell_angle_gamma 90.00
_symmetry_space_group_name_H-M 'P 1'
_symmetry_Int_Tables_number 1
loop_
_symmetry_equiv_pos_as_xyz
'x,y,z'
loop_
_atom_site_label
_atom_site_type_symbol
_atom_site_fract_x
_atom_site_fract_y
_atom_site_fract_z
_atom_site_occupancy
Rb1 Rb 0.144 0.250 0.077 1
Rb2 Rb 0.356 0.750 0.577 1
Rb3 Rb 0.644 0.250 0.423 1
Rb4 Rb 0.856 0.750 0.923 1
Ta1 Ta 0.032 0.250 0.404 1
Ta2 Ta 0.468 0.750 0.904 1
Ta3 Ta 0.532 0.250 0.096 1
Ta4 Ta 0.968 0.750 0.596 1
Cd1 Cd 0.181 0.250 0.787 1
Cd2 Cd 0.319 0.750 0.287 1
Cd3 Cd 0.681 0.250 0.713 1
Cd4 Cd 0.819 0.750 0.213 1


# Ce3Pa4 PBE relaxed
# VASP energy: -7.947 eV per atom
# D(E_F): 14.1 states/eV/f.u.
# Formation energy: 0.023 eV/atom
# Total moment: 0.00 μB per cell
data_Ce3Pa4
_chemical_formula_sum 'Ce3 Pa4'
_cell_length_a 16.771
_cell_length_b 16.771
_cell_length_c 16.771
_cell_angle_alpha 168.79
_cell_angle_beta 168.79
_cell_angle_gamma 15.88
_symmetry_space_group_name_H-M 'P 1'
_symmetry_Int_Tables_number 1
loop_
_symmetry_equiv_pos_as_xyz
'x,y,z'
loop_
_atom_site_label
_atom_site_type_symbol
_atom_site_fract_x
_atom_site_fract_y
_atom_site_fract_z
_atom_site_occupancy
Ce1 Ce 0.000 0.000 0.000 1
Ce2 Ce 0.286 0.286 0.000 1
Ce3 Ce 0.714 0.714 0.000 1
Pa1 Pa 0.142 0.142 0.000 1
Pa2 Pa 0.428 0.428 0.000 1
Pa3 Pa 0.572 0.572 0.000 1
Pa4 Pa 0.858 0.858 0.000 1


Calculated volume? In order: 13.9, 28.5, 30.8, 32.2, 38.2, 19.7, 21.7, 19.8, 14.2, 18.3, 26.7, 25.5 A^3/atom.